Li2La2Tl3 after structural relaxation. Source: Alexandria via LeMat-Bulk, functional PBE.

Cell: 4.673 7.878 10.677 Å, 90.00 102.64 90.00°
Fractional positions:
Tl 0.432 0.943 0.864
Tl 0.568 0.057 0.136
Tl 0.568 0.443 0.136
Tl 0.432 0.557 0.864
Tl 0.778 0.250 0.555
Tl 0.222 0.750 0.445
La 0.950 0.250 0.900
La 0.842 0.750 0.684
La 0.158 0.250 0.316
La 0.050 0.750 0.100
Li 0.308 0.438 0.616
Li 0.692 0.938 0.384
Li 0.692 0.562 0.384
Li 0.308 0.062 0.616

- SG: Cmcm (63)
- Total magnetization: 0.0000 μB/atom
- E: -45.74 eV per cell
- Formation energy: -0.2982 eV/atom